Entry 1:
Sr3Fe2O5 SCAN PBEsol geometry; E_form (uncorrected) = -2299 kJ/mol of formula units; density = 5.55 g/cm3
1.0
-2.232 -2.079 1.780
0.589 -2.802 -2.534
8.469 -0.995 5.953
Sr Fe O
3 2 5
Direct
0.315 0.315 0.630
0.685 0.685 0.370
0.500 0.500 0.000
0.095 0.095 0.189
0.905 0.905 0.811
0.190 0.190 0.380
0.810 0.810 0.620
0.095 0.595 0.189
0.905 0.405 0.811
0.000 0.000 0.000

=====

Entry 2:
Sr2FeO3 SCAN PBEsol geometry; E_form (uncorrected) = -1447 kJ/mol of formula units; density = 5.45 g/cm3
1.0
-2.303 -2.486 -1.120
2.749 -2.645 0.218
-1.825 1.387 6.362
Sr Fe O
2 1 3
Direct
0.145 0.645 0.291
0.855 0.355 0.709
0.500 0.000 0.000
0.500 0.500 0.000
0.347 0.847 0.693
0.653 0.153 0.307

=====

Entry 3:
Sr3Fe2O6 SCAN PBEsol geometry; E_form (uncorrected) = -2649 kJ/mol of formula units; density = 5.36 g/cm3
1.0
-2.993 1.079 2.125
-2.306 -2.171 -2.146
4.214 -7.162 6.127
Sr Fe O
3 2 6
Direct
0.319 0.319 0.638
0.681 0.681 0.362
0.500 0.500 0.000
0.099 0.099 0.198
0.901 0.901 0.802
0.196 0.196 0.391
0.804 0.804 0.609
0.585 0.085 0.171
0.085 0.585 0.171
0.415 0.915 0.829
0.915 0.415 0.829

=====

Entry 4:
Sr2TaFeO6 SCAN PBEsol geometry; E_form (uncorrected) = -2767 kJ/mol of formula units; density = 7.26 g/cm3
1.0
-2.316 4.585 -1.904
-5.148 -0.104 -1.869
-3.997 2.436 2.846
Sr Ta Fe O
2 1 1 6
Direct
0.250 0.250 0.250
0.750 0.750 0.750
0.000 0.000 0.000
0.500 0.500 0.500
0.745 0.255 0.255
0.255 0.745 0.745
0.745 0.745 0.255
0.255 0.255 0.745
0.745 0.255 0.745
0.255 0.745 0.255

=====

Number 1: magnetic moment 6.9 μB/f.u.. Number 2: magnetic moment 3.1 μB/f.u.. Number 3: magnetic moment 9.2 μB/f.u.. Number 4: magnetic moment 1.0 μB/f.u..